# 1
The following is a DFT calculation (GGA-PBE) of a geometry-optimized CaW3 structure.

a b c (Å): 2.7832 4.4861 6.1349
angles (deg): 90.00 99.19 90.00
With the nearest neighbours (Å) after each atom.
Fractional coordinates of all 4 atoms:
Ca (0.0000, 0.0000, 0.0000)  2 Ca 2.78, 4 W 3.04
W (0.2450, 0.5000, 0.7028)  5 W 2.64-2.78
W (0.5000, 0.0000, 0.5000)  6 W 2.71-2.78
W (0.7550, 0.5000, 0.2972)  5 W 2.64-2.78

Total moment = 0.0 μB/f.u.
DFT total energy = -9.518 eV per atom
Energy above the lowest structure with this stoichiometry = 143 meV/atom
Crystal system = monoclinic



# 2
The following is a DFT calculation (GGA-PBE) of a geometry-optimized Ca2W structure.

a b c (Å): 8.4907 8.4907 8.4907
angles (deg): 159.36 159.36 29.35
With the nearest neighbours (Å) after each atom.
Fractional coordinates of all 3 atoms:
Ca (0.1444, 0.1444, 0.0000)  4 Ca 3.04, 4 W 3.20
Ca (0.8556, 0.8556, 0.0000)  4 Ca 3.04, 4 W 3.20
W (0.5000, 0.5000, 0.0000)  4 W 3.04, 8 Ca 3.20

Total moment = 0.0 μB/f.u.
DFT total energy = -4.814 eV per atom
Energy above the lowest structure with this stoichiometry = 354 meV/atom
Crystal system = tetragonal



# 3
The following is a DFT calculation (GGA-PBE) of a geometry-optimized CaW3 structure.

a b c (Å): 6.2638 6.2638 9.1532
angles (deg): 90.00 90.00 120.00
With the nearest neighbours (Å) after each atom.
Fractional coordinates of all 16 atoms:
Ca (0.0000, 0.0000, 0.0000)  12 W 3.13
Ca (0.0000, 0.0000, 0.5000)  12 W 3.13
Ca (0.3333, 0.6667, 0.2500)  12 W 2.92-3.15
Ca (0.6667, 0.3333, 0.7500)  12 W 2.92-3.15
W (0.0000, 0.5000, 0.0000)  8 W 2.83-3.13, 4 Ca 2.92-3.13
W (0.0000, 0.5000, 0.5000)  8 W 2.83-3.13, 4 Ca 2.92-3.13
W (0.1966, 0.3932, 0.7500)  6 W 2.57-2.83
W (0.1966, 0.8034, 0.7500)  6 W 2.57-2.83
W (0.3932, 0.1966, 0.2500)  6 W 2.57-2.83
W (0.5000, 0.0000, 0.0000)  8 W 2.83-3.13, 4 Ca 2.92-3.13
W (0.5000, 0.0000, 0.5000)  8 W 2.83-3.13, 4 Ca 2.92-3.13
W (0.5000, 0.5000, 0.0000)  8 W 2.83-3.13, 4 Ca 2.92-3.13
W (0.5000, 0.5000, 0.5000)  8 W 2.83-3.13, 4 Ca 2.92-3.13
W (0.6068, 0.8034, 0.7500)  6 W 2.57-2.83
W (0.8034, 0.1966, 0.2500)  6 W 2.57-2.83
W (0.8034, 0.6068, 0.2500)  6 W 2.57-2.83

Total moment = 0.0 μB/f.u.
DFT total energy = -9.181 eV per atom
Energy above the lowest structure with this stoichiometry = 480 meV/atom
Crystal system = hexagonal



# 4
The following is a DFT calculation (GGA-PBE) of a geometry-optimized CaW3 structure.

a b c (Å): 4.6470 4.6470 4.6470
angles (deg): 60.00 60.00 60.00
With the nearest neighbours (Å) after each atom.
Fractional coordinates of all 4 atoms:
Ca (0.0000, 0.0000, 0.0000)  8 W 2.85
W (0.2500, 0.2500, 0.2500)  4 W 2.85, 4 Ca 2.85
W (0.5000, 0.5000, 0.5000)  8 W 2.85
W (0.7500, 0.7500, 0.7500)  4 W 2.85, 4 Ca 2.85

Total moment = 0.0 μB/f.u.
DFT total energy = -9.337 eV per atom
Energy above the lowest structure with this stoichiometry = 324 meV/atom
Crystal system = cubic



# 5
The following is a DFT calculation (GGA-PBE) of a geometry-optimized CaW structure.

a b c (Å): 9.3241 9.3241 3.4048
angles (deg): 90.00 90.00 159.39
With the nearest neighbours (Å) after each atom.
Fractional coordinates of all 4 atoms:
Ca (0.0974, 0.9026, 0.7500)  5 W 3.28-3.35, 4 Ca 3.34-3.40
Ca (0.9026, 0.0974, 0.2500)  5 W 3.28-3.35, 4 Ca 3.34-3.40
W (0.2800, 0.7200, 0.7500)  4 W 2.62
W (0.7200, 0.2800, 0.2500)  4 W 2.62

Total moment = 0.0 μB/f.u.
DFT total energy = -6.968 eV per atom
Energy above the lowest structure with this stoichiometry = 21 meV/atom
Crystal system = orthorhombic



# 6
The following is a DFT calculation (GGA-PBE) of a geometry-optimized Ca2W structure.

a b c (Å): 5.3601 5.3601 6.5947
angles (deg): 90.00 90.00 120.00
With the nearest neighbours (Å) after each atom.
Fractional coordinates of all 6 atoms:
Ca (0.0000, 0.0000, 0.0000)  8 Ca 3.30-3.51, 6 W 3.51
Ca (0.0000, 0.0000, 0.5000)  8 Ca 3.30-3.51, 6 W 3.51
Ca (0.3333, 0.6667, 0.2500)  5 W 3.09-3.30
Ca (0.6667, 0.3333, 0.7500)  5 W 3.09-3.30
W (0.3333, 0.6667, 0.7500)  5 Ca 3.09-3.30
W (0.6667, 0.3333, 0.2500)  5 Ca 3.09-3.30

Total moment = 2.6 μB/f.u.
DFT total energy = -4.405 eV per atom
Energy above the lowest structure with this stoichiometry = 763 meV/atom
Crystal system = hexagonal



# 7
The following is a DFT calculation (GGA-PBE) of a geometry-optimized CaW structure.

a b c (Å): 2.8108 2.8108 5.2403
angles (deg): 90.00 90.00 96.57
With the nearest neighbours (Å) after each atom.
Fractional coordinates of all 2 atoms:
Ca (0.0000, 0.0000, 0.0000)  4 Ca 2.81
W (0.5000, 0.5000, 0.5000)  4 W 2.81

Total moment = 0.0 μB/f.u.
DFT total energy = -6.527 eV per atom
Energy above the lowest structure with this stoichiometry = 462 meV/atom
Crystal system = orthorhombic



# 8
The following is a DFT calculation (GGA-PBE) of a geometry-optimized Ca2W structure.

a b c (Å): 3.2147 3.2147 8.4639
angles (deg): 90.00 90.00 120.00
With the nearest neighbours (Å) after each atom.
Fractional coordinates of all 3 atoms:
Ca (0.3333, 0.6667, 0.2963)  3 W 3.12, 6 Ca 3.21
Ca (0.6667, 0.3333, 0.7037)  3 W 3.12, 6 Ca 3.21
W (0.0000, 0.0000, 0.0000)  6 Ca 3.12, 6 W 3.21

Total moment = 0.0 μB/f.u.
DFT total energy = -4.717 eV per atom
Energy above the lowest structure with this stoichiometry = 451 meV/atom
Crystal system = trigonal